[1]
{"formula": "Nd2SnPb", "functional": "PBE-GGA", "state": "optimized geometry", "space_group": "P4/mmm", "total_magnetization_mub_per_fu": 0.00, "e_above_lowest_polymorph_mev_per_atom": 75, "delta_e_f_kj_per_mol_atoms": -57.69, "lattice": [[-2.1711, 2.4783, 1.3755], [-2.7135, -1.3166, -1.9107], [-2.1154, -5.7011, 6.9327]], "species": ["Pb", "Nd", "Nd", "Sn"], "frac_coords": [[0.5000, 0.5000, 0.5000], [0.0000, 0.0000, 0.2400], [0.0000, 0.0000, 0.7600], [0.5000, 0.5000, 0.0000]]}

=====

[2]
{"formula": "MoRu3", "functional": "PBE-GGA", "state": "optimized geometry", "space_group": "P6_3/mmc", "total_magnetization_mub_per_fu": 0.00, "e_above_lowest_polymorph_mev_per_atom": 0, "delta_e_f_kj_per_mol_atoms": -5.37, "lattice": [[-1.1233, 3.8450, -3.7858], [-0.0809, -5.3349, -1.3822], [-4.2267, -0.2065, 1.0445]], "species": ["Mo", "Mo", "Ru", "Ru", "Ru", "Ru", "Ru", "Ru"], "frac_coords": [[0.6667, 0.3333, 0.7500], [0.3333, 0.6667, 0.2500], [0.8329, 0.1671, 0.2500], [0.3342, 0.1671, 0.2500], [0.1671, 0.3342, 0.7500], [0.6658, 0.8329, 0.7500], [0.1671, 0.8329, 0.7500], [0.8329, 0.6658, 0.2500]]}

=====

[3]
{"formula": "ZrPt3N", "functional": "PBE-GGA", "state": "optimized geometry", "e_form_raw_kj_per_mol_fu": 914, "space_group": "Pm-3m", "total_magnetization_mub_per_fu": 2.42, "e_above_lowest_polymorph_mev_per_atom": 1828, "lattice": [[-3.4197, 0.2057, -3.6886], [-3.4431, -1.9994, 3.0806], [-1.3392, 4.6155, 1.4989]], "species": ["Pt", "Pt", "Pt", "Zr", "N"], "frac_coords": [[0.5000, 0.0000, 0.0000], [0.0000, 0.5000, 0.0000], [0.0000, 0.0000, 0.5000], [0.0000, 0.0000, 0.0000], [0.5000, 0.5000, 0.5000]]}

=====

[4]
{"formula": "AcPrDy2S4", "functional": "PBE-GGA", "state": "optimized geometry", "e_form_raw_kj_per_mol_fu": -1540, "space_group": "P2/m", "total_magnetization_mub_per_fu": 0.00, "lattice": [[3.9754, 0.0000, 0.0000], [0.0000, 7.2376, -0.2648], [0.0000, 2.4283, 6.4800]], "species": ["Dy", "Dy", "Ac", "S", "S", "S", "S", "Pr"], "frac_coords": [[0.0000, 0.0000, 0.0000], [0.5000, 0.0000, 0.5000], [0.5000, 0.5000, 0.0000], [0.5000, 0.2258, 0.7545], [0.5000, 0.7742, 0.2455], [0.0000, 0.2223, 0.2636], [0.0000, 0.7777, 0.7364], [0.0000, 0.5000, 0.5000]]}